(1)
Here is a relaxed PuFe2C crystal from the Alexandria database. Energies are from PBE.

Cell lengths 3.5031, 3.4875, 8.4132 Å; angles 90.00, 102.02, 90.00 degrees
With the nearest neighbours (Å) after each atom.
Fractional positions:
Fe 0.9460 0.7500 0.8919  1 C 2.24, 2 Fe 2.49
Fe 0.0540 0.2500 0.1081  1 C 2.24, 2 Fe 2.49
Fe 0.7503 0.2500 0.5005  4 C 2.00-2.01
Fe 0.2497 0.7500 0.4995  4 C 2.00-2.01
Pu 0.3927 0.2500 0.7853  8 Fe 2.62-2.93, 4 C 2.82
Pu 0.6073 0.7500 0.2147  8 Fe 2.62-2.93, 4 C 2.82
C 0.1903 0.2500 0.3806  4 Fe 2.00-2.01
C 0.8097 0.7500 0.6194  4 Fe 2.00-2.01

## Properties
Symmetry: Cmcm


(2)
Here is a relaxed PuFe2C3 crystal from the Alexandria database. Energies are from PBE.

Cell lengths 4.7845, 6.4848, 5.5301 Å; angles 125.90, 90.00, 90.00 degrees
With the nearest neighbours (Å) after each atom.
Fractional positions:
C 0.7500 0.4660 0.1465  1 C 1.39
C 0.2500 0.0913 0.1825  4 Fe 1.90
C 0.7500 0.6805 0.1465  1 C 1.39
C 0.7500 0.9087 0.8175  4 Fe 1.90
C 0.2500 0.5340 0.8535  1 C 1.39
C 0.2500 0.3195 0.8535  1 C 1.39
Fe 0.0000 0.8116 0.0000  4 C 1.90
Fe 0.0000 0.1884 0.0000  4 C 1.90
Fe 0.5000 0.1884 0.0000  4 C 1.90
Fe 0.5000 0.8116 0.0000  4 C 1.90
Pu 0.7500 0.2878 0.5757  6 C 2.65-2.78
Pu 0.2500 0.7122 0.4243  6 C 2.65-2.78

## Properties
Symmetry: Cmcm


Taking the records one at a time from the top gives formation energy values of 1.6; 39.9 kJ/mol of formula units.
Taking the records one at a time from the top gives total magnetic moment values of 2.65; 4.18 μB/f.u..